Below is crystalline KAcCr2O8 at its relaxed geometry, with properties calculated at the GGA+U level.

The value obtained for the electronic total energy is -6.88 eV per atom.

abc: 5.961 5.961 7.990
angles: 90.00 90.00 120.00
Positions (direct):
K 0.000 0.000 0.000
Ac 0.000 0.000 0.500
Cr 0.667 0.333 0.225
Cr 0.333 0.667 0.775
O 0.333 0.667 0.978
O 0.359 0.181 0.295
O 0.819 0.178 0.295
O 0.667 0.333 0.022
O 0.181 0.822 0.705
O 0.641 0.819 0.705
O 0.178 0.359 0.705
O 0.822 0.641 0.295